Record 1
The following is a DFT calculation (PBE) of a geometry-optimized FeRuPb2 structure. Values from VASP.

Properties
Energy in eV for the cell shown: -43.06
Theoretical density in Mg/m³: 11.03
Formation enthalpy at 0 K in eV/atom: 0.906
Excess energy over the best structure of this formula in the dataset in eV/atom: 0.592

Geometry as Quantum ESPRESSO input:
```
&SYSTEM
  ibrav = 0, nat = 8, ntyp = 3
/
ATOMIC_SPECIES
Pb 207.20 Pb.upf
Fe 55.84 Fe.upf
Ru 101.07 Ru.upf
ATOMIC_POSITIONS angstrom
Pb 5.6571 1.8830 0.7581
Pb 5.6489 5.6408 2.2742
Pb 1.8748 5.6489 0.7581
Pb 9.4149 9.4231 2.2742
Fe 3.7660 3.7660 0.0000
Fe 3.7660 7.5319 1.5161
Ru 7.5319 3.7660 1.5161
Ru 0.0000 0.0000 0.0000
CELL_PARAMETERS angstrom
7.5319 0.0000 0.0000
0.0000 7.5319 0.0000
3.7660 3.7660 3.0322
```

Record 2
The following is a DFT calculation (PBE) of a geometry-optimized KAlPt structure. Values from VASP.

Properties
Energy in eV for the cell shown: -10.45
Theoretical density in Mg/m³: 5.77
Formation enthalpy at 0 K in eV/atom: 0.142
Excess energy over the best structure of this formula in the dataset in eV/atom: 0.696

Geometry as Quantum ESPRESSO input:
```
&SYSTEM
  ibrav = 0, nat = 3, ntyp = 3
/
ATOMIC_SPECIES
Al 26.98 Al.upf
K 39.10 K.upf
Pt 195.08 Pt.upf
ATOMIC_POSITIONS angstrom
Al 0.0000 0.0000 0.0000
K 4.7375 2.7352 1.9341
Pt 7.1062 4.1028 2.9011
CELL_PARAMETERS angstrom
4.7375 0.0000 0.0000
2.3687 4.1028 0.0000
2.3687 1.3676 3.8681
```

Record 3
The following is a DFT calculation (PBE) of a geometry-optimized SiSeI2O structure. Values from VASP.

Properties
Energy in eV for the cell shown: -17.53
Formation energy from raw total energies in eV/atom: -0.112
Theoretical density in Mg/m³: 5.56
Excess energy over the best structure of this formula in the dataset in eV/atom: 0.000

Geometry as Quantum ESPRESSO input:
```
&SYSTEM
  ibrav = 0, nat = 5, ntyp = 4
/
ATOMIC_SPECIES
O 16.00 O.upf
I 126.90 I.upf
Si 28.09 Si.upf
Se 78.96 Se.upf
ATOMIC_POSITIONS angstrom
O -0.7508 -0.5507 1.4615
I 2.5638 -0.5690 1.1026
I -0.1294 -2.6400 -1.0613
Si 0.0000 0.0000 0.0000
Se 1.6836 -3.7597 1.5029
CELL_PARAMETERS angstrom
-0.2589 -5.2799 -2.1226
5.1276 -1.1379 2.2052
-1.5016 -1.1015 2.9231
```

Record 4
The following is a DFT calculation (PBE) of a geometry-optimized RePtNF2 structure. Values from VASP.

Properties
Energy in eV for the cell shown: -25.91
Formation energy from raw total energies in eV/atom: 0.928
Theoretical density in Mg/m³: 9.02

Geometry as Quantum ESPRESSO input:
```
&SYSTEM
  ibrav = 0, nat = 5, ntyp = 4
/
ATOMIC_SPECIES
F 19.00 F.upf
Pt 195.08 Pt.upf
Re 186.21 Re.upf
N 14.01 N.upf
ATOMIC_POSITIONS angstrom
F 2.3353 0.0000 0.0000
F 0.0000 2.3353 0.0000
Pt 0.0000 0.0000 0.0000
Re 2.3353 2.3353 1.8274
N 0.0000 0.0000 1.8274
CELL_PARAMETERS angstrom
4.6706 0.0000 0.0000
0.0000 4.6706 0.0000
0.0000 0.0000 3.6549
```